Entry 1:
Density functional theory data (PBE with a Hubbard U) for RbV2Hg2O7 after structural relaxation.

Calculated values
Fermi-level density of states (states/eV per cell): 16.7
Total energy (eV per atom): -5.598

```
data_RbV2Hg2O7
_chemical_formula_sum 'Rb3 V6 Hg6 O21'
_cell_length_a 6.1997
_cell_length_b 6.1997
_cell_length_c 24.7328
_cell_angle_alpha 90.00
_cell_angle_beta 90.00
_cell_angle_gamma 120.00
_space_group_name_H-M_alt 'R 3 2'
_space_group_IT_number 155
_space_group_name_Hall 'R 3 2"'
loop_
_atom_site_label
_atom_site_fract_x
_atom_site_fract_y
_atom_site_fract_z
_atom_site_occupancy
Rb1 0.0000 0.0000 0.0000 1
V1 0.0000 0.0000 0.4270 1
Hg1 0.0000 0.0000 0.2587 1
O1 0.0000 0.0000 0.5000 1
O2 0.0152 0.2702 0.4031 1
```


Entry 2:
Density functional theory data (PBE with a Hubbard U) for Rb2V2HgO7 after structural relaxation.

Calculated values
Fermi-level density of states (states/eV per cell): 0.0
Total energy (eV per atom): -5.982

```
data_Rb2V2HgO7
_chemical_formula_sum 'Rb6 V6 Hg3 O21'
_cell_length_a 6.1598
_cell_length_b 6.1598
_cell_length_c 22.6185
_cell_angle_alpha 90.00
_cell_angle_beta 90.00
_cell_angle_gamma 120.00
_space_group_name_H-M_alt 'R -3 m'
_space_group_IT_number 166
_space_group_name_Hall '-R 3 2"'
loop_
_atom_site_label
_atom_site_fract_x
_atom_site_fract_y
_atom_site_fract_z
_atom_site_occupancy
Rb1 0.0000 0.0000 0.2375 1
V1 0.0000 0.0000 0.0803 1
Hg1 0.0000 0.0000 0.5000 1
O1 0.0000 0.0000 0.0000 1
O2 0.0299 0.5149 0.7724 1
```


Entry 3:
Density functional theory data (PBE with a Hubbard U) for RbV2HgO6 after structural relaxation.

Calculated values
Fermi-level density of states (states/eV per cell): 4.3
Total energy (eV per atom): -6.174

```
data_RbV2HgO6
_chemical_formula_sum 'Rb4 V8 Hg4 O24'
_cell_length_a 11.223
_cell_length_b 12.038
_cell_length_c 5.998
_cell_angle_alpha 90.00
_cell_angle_beta 105.30
_cell_angle_gamma 90.00
_space_group_name_H-M_alt 'C 1 2/c 1'
_space_group_IT_number 15
_space_group_name_Hall '-C 2yc'
loop_
_atom_site_label
_atom_site_fract_x
_atom_site_fract_y
_atom_site_fract_z
_atom_site_occupancy
Rb1 0.000 0.111 0.250 1
V1 0.198 0.426 0.208 1
Hg1 0.000 0.284 0.750 1
O1 0.124 0.303 0.119 1
O2 0.148 0.093 0.721 1
O3 0.156 0.479 0.462 1
```


Entry 4:
Density functional theory data (PBE with a Hubbard U) for RbVHg2O4 after structural relaxation.

Calculated values
Total energy (eV per atom): -4.810

```
data_RbVHg2O4
_chemical_formula_sum 'Rb2 V2 Hg4 O8'
_cell_length_a 6.056
_cell_length_b 6.855
_cell_length_c 7.240
_cell_angle_alpha 90.00
_cell_angle_beta 90.00
_cell_angle_gamma 90.00
_space_group_name_H-M_alt 'I 2 2 2'
_space_group_IT_number 23
_space_group_name_Hall 'I 2 2'
loop_
_atom_site_label
_atom_site_fract_x
_atom_site_fract_y
_atom_site_fract_z
_atom_site_occupancy
Rb1 0.000 0.000 0.000 1
V1 0.000 0.000 0.500 1
Hg1 0.000 0.500 0.307 1
O1 0.172 0.143 0.358 1
```